# 1
Ca2Al4Ag3Au: optimized geometry, PBE.

```
10
Lattice="4.3613 0.0000 0.0000 0.0000 4.3613 0.0000 0.0000 0.0000 11.0286" Properties=species:S:1:pos:R:3 pbc="T T T"
Ca 0.0000 2.1807 2.7561
Ca 2.1807 0.0000 8.2726
Al 0.0000 0.0000 0.0000
Al 0.0000 2.1807 6.9337
Al 2.1807 0.0000 4.0949
Al 2.1807 2.1807 0.0000
Ag 0.0000 2.1807 9.4998
Ag 2.1807 0.0000 1.5289
Ag 2.1807 2.1807 5.5143
Au 0.0000 0.0000 5.5143
```

Its density of states at the Fermi level is 4.9 states/eV/cell. The energy of formation from the pure elements comes out at -3.34 eV/f.u. As for the space group: P-4m2, No. 115. As for the magnetic moment: 0.000 μB per formula unit.

---

# 2
Ca2Al4AgAu3: optimized geometry, PBE.

```
10
Lattice="4.3662 0.0000 0.0000 0.0000 4.3662 0.0000 0.0000 0.0000 10.8139" Properties=species:S:1:pos:R:3 pbc="T T T"
Ca 0.0000 2.1831 2.6846
Ca 2.1831 0.0000 8.1293
Al 0.0000 0.0000 0.0000
Al 0.0000 2.1831 6.8360
Al 2.1831 0.0000 3.9779
Al 2.1831 2.1831 0.0000
Ag 0.0000 0.0000 5.4070
Au 0.0000 2.1831 9.3640
Au 2.1831 0.0000 1.4500
Au 2.1831 2.1831 5.4070
```

Its density of states at the Fermi level is 5.2 states/eV/cell. The energy of formation from the pure elements comes out at -5.62 eV/f.u. As for the space group: P-4m2, No. 115. As for the magnetic moment: 0.000 μB per formula unit.

---

# 3
CaAl2AgAu: optimized geometry, PBE.

```
5
Lattice="-2.0718 2.1774 5.8302 2.0718 -2.1774 5.8302 2.0718 2.1774 -5.8302" Properties=species:S:1:pos:R:3 pbc="T T T"
Ca 0.0000 0.0000 0.0000
Al 0.0000 0.0000 4.4859
Al 0.0000 2.1774 2.8355
Ag 2.0718 0.0000 2.9791
Au 0.0000 0.0000 6.9799
```

Its density of states at the Fermi level is 2.5 states/eV/cell. The energy of formation from the pure elements comes out at -2.00 eV/f.u. As for the space group: Imm2, No. 44. As for the magnetic moment: 0.000 μB per formula unit.

---

# 4
CaAl2AgAu2: optimized geometry, PBE.

```
6
Lattice="4.5068 0.0000 0.0000 -2.2534 3.9030 0.0000 0.0000 0.0000 6.7612" Properties=species:S:1:pos:R:3 pbc="T T T"
Ca 0.0000 0.0000 0.0000
Al 0.0000 2.6020 4.5916
Al 2.2534 1.3010 2.1696
Ag 0.0000 0.0000 3.3806
Au 0.0000 2.6020 1.8497
Au 2.2534 1.3010 4.9115
```

Its density of states at the Fermi level is 1.5 states/eV/cell. The energy of formation from the pure elements comes out at -3.08 eV/f.u. As for the space group: P-3m1, No. 164. As for the magnetic moment: 0.000 μB per formula unit.

---

# 5
CaAlAg2Au5: optimized geometry, PBE.

```
9
Lattice="-2.4269 2.8777 7.2041 2.4269 -2.8777 7.2041 2.4269 2.8777 -7.2041" Properties=species:S:1:pos:R:3 pbc="T T T"
Ca 0.0000 0.0000 0.0000
Al 0.0000 0.0000 7.2041
Ag 2.4269 0.0000 4.4582
Ag 0.0000 2.8777 2.7459
Au 2.4269 1.3726 -2.0370
Au 2.4269 1.3726 2.0370
Au 0.0000 2.8777 0.0000
Au 0.0000 1.5051 5.1671
Au 0.0000 1.5051 9.2411
```

Its density of states at the Fermi level is 2.5 states/eV/cell. The energy of formation from the pure elements comes out at -1.64 eV/f.u. As for the space group: Immm, No. 71. As for the magnetic moment: 0.000 μB per formula unit.

---

# 6
CaAl3AgAu: optimized geometry, PBE.

```
12
Lattice="3.1633 -6.5420 0.0000 3.1633 6.5420 0.0000 0.0000 0.0000 5.8610" Properties=species:S:1:pos:R:3 pbc="T T T"
Ca 3.1633 3.8915 4.3957
Ca 3.1633 -3.8915 1.4652
Al 1.3048 0.0000 0.0000
Al 1.3048 0.0000 2.9305
Al 3.1633 1.8000 1.4652
Al 3.1633 -1.8000 4.3957
Al 5.0217 0.0000 0.0000
Al 5.0217 0.0000 2.9305
Ag 3.1633 1.1077 4.3957
Ag 3.1633 -1.1077 1.4652
Au 3.1633 4.5140 1.4652
Au 3.1633 -4.5140 4.3957
```

Its density of states at the Fermi level is 2.3 states/eV/cell. The energy of formation from the pure elements comes out at -1.35 eV/f.u. As for the space group: Cmcm, No. 63. As for the magnetic moment: 0.000 μB per formula unit.

---

# 7
Al2CdAg2Au5: optimized geometry, PBE.

```
20
Lattice="9.5110 0.0000 0.0000 0.0000 9.5110 0.0000 0.0000 0.0000 4.0535" Properties=species:S:1:pos:R:3 pbc="T T T"
Al 1.2098 3.5457 0.0000
Al 3.5457 8.3012 0.0000
Al 5.9653 1.2098 0.0000
Al 8.3012 5.9653 0.0000
Cd 0.0000 0.0000 0.0000
Cd 4.7555 4.7555 0.0000
Ag 1.6049 6.3604 0.0000
Ag 3.1506 1.6049 0.0000
Ag 6.3604 7.9061 0.0000
Ag 7.9061 3.1506 0.0000
Au 0.0000 4.7555 2.0267
Au 0.8198 1.8780 2.0267
Au 1.8780 8.6913 2.0267
Au 2.8775 3.9358 2.0267
Au 3.9358 6.6336 2.0267
Au 4.7555 0.0000 2.0267
Au 5.5753 2.8775 2.0267
Au 6.6336 5.5753 2.0267
Au 7.6330 0.8198 2.0267
Au 8.6913 7.6330 2.0267
```

Its density of states at the Fermi level is 5.4 states/eV/cell. The energy of formation from the pure elements comes out at -1.62 eV/f.u. As for the space group: P4/mbm, No. 127. As for the magnetic moment: 0.000 μB per formula unit.

---

# 8
Ce2Al4AgAu3: optimized geometry, PBE.

```
10
Lattice="4.4015 0.0000 0.0000 0.0000 4.4015 0.0000 0.0000 0.0000 10.5900" Properties=species:S:1:pos:R:3 pbc="T T T"
Ce 0.0000 2.2008 2.6392
Ce 2.2008 0.0000 7.9508
Al 0.0000 0.0000 0.0000
Al 0.0000 2.2008 6.7096
Al 2.2008 0.0000 3.8804
Al 2.2008 2.2008 0.0000
Ag 0.0000 0.0000 5.2950
Au 0.0000 2.2008 9.2141
Au 2.2008 0.0000 1.3759
Au 2.2008 2.2008 5.2950
```

Its density of states at the Fermi level is 14.5 states/eV/cell. The energy of formation from the pure elements comes out at -6.02 eV/f.u. As for the space group: P-4m2, No. 115. As for the magnetic moment: 1.687 μB per formula unit.

---

# 9
Ce2Al4Ag3Au: optimized geometry, PBE.

```
10
Lattice="4.4170 0.0000 0.0000 0.0000 4.4170 0.0000 0.0000 0.0000 10.6487" Properties=species:S:1:pos:R:3 pbc="T T T"
Ce 0.0000 2.2085 2.6413
Ce 2.2085 0.0000 8.0074
Al 0.0000 0.0000 5.3244
Al 0.0000 2.2085 9.2455
Al 2.2085 0.0000 1.4032
Al 2.2085 2.2085 5.3244
Ag 0.0000 0.0000 0.0000
Ag 0.0000 2.2085 6.7236
Ag 2.2085 0.0000 3.9252
Au 2.2085 2.2085 0.0000
```

Its density of states at the Fermi level is 15.0 states/eV/cell. The energy of formation from the pure elements comes out at -3.64 eV/f.u. As for the space group: P-4m2, No. 115. As for the magnetic moment: 1.751 μB per formula unit.

---

# 10
Ce2Al3AgAu4: optimized geometry, PBE.

```
10
Lattice="4.4156 0.0000 0.0000 0.0000 4.4156 0.0000 0.0000 0.0000 10.8320" Properties=species:S:1:pos:R:3 pbc="T T T"
Ce 0.0000 2.2078 2.6826
Ce 2.2078 0.0000 8.1493
Al 0.0000 2.2078 9.4873
Al 2.2078 0.0000 1.3447
Al 2.2078 2.2078 5.4160
Ag 0.0000 0.0000 5.4160
Au 0.0000 0.0000 0.0000
Au 0.0000 2.2078 7.0089
Au 2.2078 0.0000 3.8231
Au 2.2078 2.2078 0.0000
```

Its density of states at the Fermi level is 16.1 states/eV/cell. The energy of formation from the pure elements comes out at -5.52 eV/f.u. As for the space group: P-4m2, No. 115. As for the magnetic moment: 2.127 μB per formula unit.

---

# 11
AlCrAgAu: optimized geometry, PBE.

```
4
Lattice="0.0000 3.2067 3.2067 3.2067 0.0000 3.2067 3.2067 3.2067 0.0000" Properties=species:S:1:pos:R:3 pbc="T T T"
Al 0.0000 0.0000 0.0000
Cr 3.2067 3.2067 3.2067
Ag 4.8101 4.8101 4.8101
Au 1.6034 1.6034 1.6034
```

Its density of states at the Fermi level is 2.4 states/eV/cell. The energy of formation from the pure elements comes out at -0.03 eV/f.u. As for the space group: F-43m, No. 216. As for the magnetic moment: 3.753 μB per formula unit.

---

# 12
AlCu2Ag2Au5: optimized geometry, PBE.

```
20
Lattice="10.2690 0.0000 0.0000 0.0000 10.2690 0.0000 0.0000 0.0000 3.2922" Properties=species:S:1:pos:R:3 pbc="T T T"
Al 0.0000 0.0000 0.0000
Al 5.1345 5.1345 0.0000
Cu 1.4593 3.6752 0.0000
Cu 3.6752 8.8097 0.0000
Cu 6.5938 1.4593 0.0000
Cu 8.8097 6.5938 0.0000
Ag 1.7782 6.9127 0.0000
Ag 3.3563 1.7782 0.0000
Ag 6.9127 8.4909 0.0000
Ag 8.4909 3.3563 0.0000
Au 0.0000 5.1345 1.6461
Au 0.2367 2.0693 1.6461
Au 2.0693 10.0323 1.6461
Au 3.0652 4.8978 1.6461
Au 4.8978 7.2038 1.6461
Au 5.1345 0.0000 1.6461
Au 5.3712 3.0652 1.6461
Au 7.2038 5.3712 1.6461
Au 8.1997 0.2367 1.6461
Au 10.0323 8.1997 1.6461
```

Its density of states at the Fermi level is 4.0 states/eV/cell. The energy of formation from the pure elements comes out at -0.55 eV/f.u. As for the space group: P4/mbm, No. 127. As for the magnetic moment: 0.000 μB per formula unit.